LiBeCu4 (PBE-GGA, optimized geometry); raw total energy = -3.513 eV per atom; magnetic moment = 0.00 μB/atom; space-group type = No. 216
1.0
-3.659 2.884 1.091
-0.334 4.316 -2.038
-3.417 0.859 -3.238
Li Cu Be
1 4 1
direct
0.250 0.250 0.250
0.124 0.625 0.625
0.625 0.124 0.625
0.625 0.625 0.625
0.625 0.625 0.124
0.000 0.000 0.000